# PmMnTl2O6 | Alexandria via LeMat-Bulk | PBE+U | optimized geometry
# Total DFT energy (no corrections) ... -6.184 eV per atom
# V ... 143.9 Å³/cell
# Spin magnetization ... 0.40 μB per atom
data_PmMnTl2O6
_cell_length_a 5.612
_cell_length_b 5.699
_cell_length_c 5.888
_cell_angle_alpha 62.64
_cell_angle_beta 89.85
_cell_angle_gamma 63.03
_space_group_name_H-M_alt 'P 1'
_space_group_IT_number 1
_space_group_name_Hall 'P 1'
loop_
_atom_site_label
_atom_site_fract_x
_atom_site_fract_y
_atom_site_fract_z
Pm1 0.000 0.000 0.000
Mn1 0.479 0.028 0.463
Tl1 0.277 0.463 0.809
Tl2 0.771 0.452 0.339
O1 0.103 0.503 0.167
O2 0.240 0.915 0.680
O3 0.394 0.906 0.225
O4 0.591 0.175 0.671
O5 0.671 0.194 0.203
O6 0.877 0.518 0.674